A plane-wave DFT calculation with PBE-GGA was carried out for a relaxed structure of Ce2RuRh.

CIF file:
```
data_Ce2RuRh
_space_group_name_H-M_alt 'P 4/m m m'
_space_group_IT_number 123
_space_group_name_Hall '-P 4 2'
_cell_length_a 3.437
_cell_length_b 3.437
_cell_length_c 7.038
_cell_angle_alpha 90.00
_cell_angle_beta 90.00
_cell_angle_gamma 90.00
loop_
_atom_site_label
_atom_site_type_symbol
_atom_site_fract_x
_atom_site_fract_y
_atom_site_fract_z
_atom_site_occupancy
Ce1 Ce 0.000 0.000 0.248 1
Ru1 Ru 0.500 0.500 0.000 1
Rh1 Rh 0.500 0.500 0.500 1
```

Summary:
The crystal system is tetragonal. For the electronic total energy, the calculation gives -7.607 eV/atom. The value obtained for the formation energy is -0.483 eV/atom. As for the magnetic moment: 0.5 μB/cell.

=====

A plane-wave DFT calculation with PBE-GGA was carried out for a relaxed structure of NdMnTlS3.

CIF file:
```
data_NdMnTlS3
_space_group_name_H-M_alt 'P 1 21/m 1'
_space_group_IT_number 11
_cell_length_a 8.912
_cell_length_b 4.171
_cell_length_c 9.466
_cell_angle_alpha 90.00
_cell_angle_beta 103.77
_cell_angle_gamma 90.00
loop_
_space_group_symop_operation_xyz
'x,y,z'
'-x,-y,-z'
'-x,y+1/2,-z'
'x,-y+1/2,z'
loop_
_atom_site_label
_atom_site_type_symbol
_atom_site_fract_x
_atom_site_fract_y
_atom_site_fract_z
_atom_site_occupancy
Nd1 Nd 0.162 0.250 0.150 1
Mn1 Mn 0.419 0.750 0.389 1
Tl1 Tl 0.306 0.750 0.791 1
S1 S 0.053 0.250 0.846 1
S2 S 0.313 0.250 0.464 1
S3 S 0.378 0.750 0.136 1
```

Summary:
The crystal system is monoclinic. For the energy relative to the elements, uncorrected, the calculation gives -1108 meV/atom. For the electronic total energy, the calculation gives -5.889 eV/atom. As for the magnetic moment: 10.0 μB/cell.